No. 1
Density functional theory data (PBE-GGA) for a geometry-optimized Ba2NaIrPb structure.

The density of states at the Fermi level comes out at 4.1 states/eV/f.u. The energy of formation is -0.151 eV/atom.

It has space group P4/mmm (No. 123), with a = 6.211 Å, b = 6.211 Å, c = 5.287 Å, α = 90.00°, β = 90.00° and γ = 90.00°. Symmetry generates all atoms from Ba at (0.000, 0.500, 0.000), Na at (0.000, 0.000, 0.500), Ir at (0.500, 0.500, 0.000) and Pb at (0.500, 0.500, 0.500).


No. 2
Density functional theory data (PBE-GGA) for a geometry-optimized BaTa structure.

The density of states at the Fermi level comes out at 3.4 states/eV/f.u. The energy of formation is 2.670 eV/atom.

It has space group P6_3/mmc (No. 194), with a = 6.0008 Å, b = 6.0008 Å, c = 7.0200 Å, α = 90.00°, β = 90.00° and γ = 120.00°. Symmetry generates all atoms from Ba at (0.3333, 0.6667, 0.2500) and Ta at (0.3333, 0.6667, 0.7500).


No. 3
Density functional theory data (PBE-GGA) for a geometry-optimized Os4PbO12 structure.

The density of states at the Fermi level comes out at 10.1 states/eV/f.u. The value obtained for the energy relative to the elements, uncorrected is -88.6 kJ/mol of atoms.

It has space group Im-3m (No. 229), with a = 7.680 Å, b = 7.680 Å, c = 7.680 Å, α = 90.00°, β = 90.00° and γ = 90.00°. Symmetry generates all atoms from Os at (0.250, 0.250, 0.250), Pb at (0.000, 0.000, 0.000) and O at (0.000, 0.247, 0.247).


No. 4
Density functional theory data (PBE-GGA) for a geometry-optimized Ba2TlBr structure.

The density of states at the Fermi level comes out at 3.1 states/eV/f.u. The value obtained for the energy relative to the elements, uncorrected is -90.2 kJ/mol of atoms.

It has space group Cm (No. 8), with a = 13.600 Å, b = 4.163 Å, c = 5.745 Å, α = 90.00°, β = 90.03° and γ = 90.00°. Symmetry generates all atoms from Ba at (0.000, 0.000, 0.000), Ba at (0.249, 0.500, 0.499), Tl at (0.484, 0.000, 0.500) and Br at (0.244, 0.000, 0.999).